The following is a PBE calculation of an optimized crystal structure of CdPdSe3, from Alexandria via LeMat-Bulk.

Output
- total moment (μB/cell) = 0.00
- crystal system = cubic

```
5
Lattice="4.976 0.000 0.000 0.000 4.976 0.000 0.000 0.000 4.976" Properties=species:S:1:pos:R:3 pbc="T T T"
Cd 0.000 0.000 0.000
Pd 2.488 2.488 2.488
Se 0.000 2.488 2.488
Se 2.488 0.000 2.488
Se 2.488 2.488 0.000
```

The following is a PBE calculation of an optimized crystal structure of Cd2PdSe, from Alexandria via LeMat-Bulk.

Output
- total moment (μB/cell) = 0.00
- crystal system = cubic

```
4
Lattice="0.000 3.419 3.419 3.419 0.000 3.419 3.419 3.419 0.000" Properties=species:S:1:pos:R:3 pbc="T T T"
Cd 1.709 1.709 1.709
Cd 5.128 5.128 5.128
Pd 0.000 0.000 0.000
Se 3.419 3.419 3.419
```

The following is a PBE calculation of an optimized crystal structure of Cd2TcPdSe, from Alexandria via LeMat-Bulk.

Output
- total moment (μB/cell) = 0.69
- crystal system = tetragonal

```
5
Lattice="5.120 0.000 0.000 0.000 5.120 0.000 0.000 0.000 4.537" Properties=species:S:1:pos:R:3 pbc="T T T"
Cd 0.000 2.560 0.000
Cd 2.560 0.000 0.000
Tc 0.000 0.000 2.268
Pd 2.560 2.560 2.268
Se 0.000 0.000 0.000
```

The following is a PBE calculation of an optimized crystal structure of CdSiPd2, from Alexandria via LeMat-Bulk.

Output
- total moment (μB/cell) = 0.00
- crystal system = trigonal

```
4
Lattice="1.994 1.151 5.119 -1.994 1.151 5.119 0.000 -2.302 5.119" Properties=species:S:1:pos:R:3 pbc="T T T"
Cd 0.000 0.000 0.000
Si 0.000 0.000 12.623
Pd 0.000 0.000 3.346
Pd 0.000 0.000 6.737
```

| no. | E_form (uncorrected) (meV/atom) |
| --- | --- |
| 1 | 262 |
| 2 | -95 |
| 3 | 908 |
| 4 | -392 |